Below is a relaxed ZnAg2Hg crystal, with properties calculated at the PBE-GGA level.

```
ZnAg2Hg
1.0
0.000 3.324 3.324
3.324 0.000 3.324
3.324 3.324 0.000
Ag Hg Zn
2 1 1
Direct
0.000 0.000 0.000
0.750 0.750 0.750
0.250 0.250 0.250
0.500 0.500 0.500
```

Values from the calculation:
**Theoretical density**: 10.89 g/cm3
**Space-group type**: No. 216

***

Below is a relaxed ZrAgHg2 crystal, with properties calculated at the PBE-GGA level.

```
ZrAgHg2
1.0
-1.798 -1.261 4.356
-1.633 3.437 3.053
-4.781 0.412 0.877
Hg Ag Zr
2 1 1
Direct
0.000 0.000 0.000
0.250 0.250 0.250
0.500 0.500 0.500
0.750 0.750 0.750
```

Values from the calculation:
**Total moment**: 0.0035 μB per atom
**Theoretical density**: 12.14 g/cm3
**Space-group type**: No. 216

***

Below is a relaxed Zr2AgHg crystal, with properties calculated at the PBE-GGA level.

```
Zr2AgHg
1.0
3.188 0.000 0.000
0.000 3.188 0.000
0.000 0.000 8.411
Ag Zr Hg
1 2 1
Direct
0.000 0.000 0.622
0.000 0.000 0.127
0.500 0.500 0.865
0.500 0.500 0.386
```

Values from the calculation:
**Total moment**: 0.0011 μB per atom
**Theoretical density**: 9.54 g/cm3
**Space-group type**: No. 99

***

Below is a relaxed HoAg crystal, with properties calculated at the PBE-GGA level.

```
HoAg
1.0
0.000 2.970 2.970
2.970 0.000 2.970
2.970 2.970 0.000
Ho Ag
1 1
Direct
0.500 0.500 0.500
0.000 0.000 0.000
```

Values from the calculation:
**Total moment**: 0.0007 μB per atom
**Theoretical density**: 8.65 g/cm3
**Space-group type**: No. 225

***

Below is a relaxed HoAg crystal, with properties calculated at the PBE-GGA level.

```
HoAg
1.0
3.607 0.000 0.000
0.000 3.607 0.000
0.000 0.000 3.607
Ag Ho
1 1
Direct
0.000 0.000 0.000
0.500 0.500 0.500
```

Values from the calculation:
**Total moment**: 0.0005 μB per atom
**Theoretical density**: 9.65 g/cm3
**Space-group type**: No. 221

***

Below is a relaxed HoAg2 crystal, with properties calculated at the PBE-GGA level.

```
HoAg2
1.0
0.000 3.688 0.000
3.688 0.000 0.000
-1.844 -1.844 -4.606
Ag Ho
2 1
Direct
0.671 0.671 0.342
0.329 0.329 0.658
0.000 0.000 0.000
```

Values from the calculation:
**Total moment**: 0.0004 μB per atom
**Theoretical density**: 10.09 g/cm3
**Space-group type**: No. 139

***

Below is a relaxed HoAg crystal, with properties calculated at the PBE-GGA level.

```
HoAg
1.0
4.287 0.000 0.000
-2.143 3.712 0.000
0.000 0.000 6.623
Ho Ag
2 2
Direct
0.333 0.667 0.750
0.667 0.333 0.250
0.000 0.000 0.000
0.000 0.000 0.500
```

Values from the calculation:
**Total moment**: 0.0012 μB per atom
**Theoretical density**: 8.60 g/cm3
**Space-group type**: No. 194

***

Below is a relaxed HoAg2 crystal, with properties calculated at the PBE-GGA level.

```
HoAg2
1.0
-1.067 -3.022 4.625
-4.667 0.980 2.987
-4.183 -3.763 -0.002
Ag Ho
4 2
Direct
0.625 0.125 0.625
0.625 0.625 0.125
0.125 0.625 0.625
0.625 0.625 0.625
0.000 0.000 0.000
0.250 0.250 0.250
```

Values from the calculation:
**Total moment**: 0.0035 μB per atom
**Theoretical density**: 10.04 g/cm3
**Space-group type**: No. 227

***

Energy? In order: -6.989; -11.925; -20.645; -7.566; -8.084; -11.225; -15.144; -21.491 eV for the cell shown.